1.
CaHfBH2: relaxed, GGA-PBE.

a = 3.6745 Å, b = 5.3181 Å, c = 3.6745 Å
α = 90.00°, β = 90.00°, γ = 90.00°
Closest atoms and distances in Å follow each position.
Sites, in units of the cell vectors:
H 0.0000 0.0000 0.5000  2 Ca 1.84
H 0.5000 0.0000 0.0000  2 Ca 1.84
Ca 0.0000 0.0000 0.0000  4 H 1.84
B 0.0000 0.5000 0.0000  4 Hf 2.60, 2 Ca 2.66
Hf 0.5000 0.5000 0.5000  4 B 2.60

## Properties
* E: -4.542 eV per atom
* space group: P4/mmm (123)

=====

2.
Pr6ZnIn5: relaxed, GGA-PBE.

a = 5.4907 Å, b = 7.7689 Å, c = 8.6726 Å
α = 90.00°, β = 71.51°, γ = 90.00°
Closest atoms and distances in Å follow each position.
Sites, in units of the cell vectors:
Pr 0.8369 0.7545 0.3263  1 Zn 3.29, 7 In 3.33-3.41
Pr 0.8368 0.2455 0.3263  1 Zn 3.29, 7 In 3.33-3.41
Pr 0.5000 0.2426 0.0000  6 In 3.33-3.41, 2 Zn 3.33
Pr 0.5000 0.7574 0.0000  6 In 3.33-3.41, 2 Zn 3.33
Pr 0.1632 0.7545 0.6737  1 Zn 3.29, 7 In 3.33-3.41
Pr 0.1631 0.2455 0.6737  1 Zn 3.29, 7 In 3.33-3.41
Zn 0.0000 0.0000 0.0000  8 Pr 3.29-3.33
In 0.6682 0.5000 0.6636  8 Pr 3.38-3.41
In 0.3332 0.0000 0.3335  8 Pr 3.33-3.39
In 0.0000 0.5000 0.0000  8 Pr 3.33-3.40
In 0.6668 0.0000 0.6665  8 Pr 3.33-3.39
In 0.3318 0.5000 0.3364  8 Pr 3.38-3.41

## Properties
* formation energy from the elements: -457 meV/atom
* space group: Cmmm (65)

=====

3.
BaBePb2: relaxed, GGA-PBE.

a = 6.7527 Å, b = 6.7527 Å, c = 3.7561 Å
α = 75.66°, β = 75.66°, γ = 120.75°
Closest atoms and distances in Å follow each position.
Sites, in units of the cell vectors:
Pb 0.0000 0.0000 0.0000  4 Pb 3.34-3.56, 2 Ba 3.43, 2 Be 3.43
Pb 0.5000 0.5000 0.0000  4 Pb 3.34-3.56, 2 Be 3.43, 2 Ba 3.43
Be 0.0000 0.5000 0.5000  4 Ba 3.34-3.56, 4 Pb 3.43
Ba 0.5000 0.0000 0.5000  4 Be 3.34-3.56, 4 Pb 3.43

## Properties
* formation energy from the elements: 383 meV/atom
* space group: C2/m (12)

=====

4.
CsAg2Ge2: relaxed, GGA-PBE.

a = 8.9437 Å, b = 8.9437 Å, c = 3.1094 Å
α = 90.00°, β = 90.00°, γ = 90.00°
Closest atoms and distances in Å follow each position.
Sites, in units of the cell vectors:
Cs 0.0000 0.0000 0.0000  2 Cs 3.11
Cs 0.5000 0.5000 0.0000  2 Cs 3.11
Ge 0.1395 0.6395 0.5000  4 Ag 2.85, 2 Ge 3.11
Ge 0.6395 0.8605 0.5000  4 Ag 2.85, 2 Ge 3.11
Ge 0.8605 0.3605 0.5000  4 Ag 2.85, 2 Ge 3.11
Ge 0.3605 0.1395 0.5000  4 Ag 2.85, 2 Ge 3.11
Ag 0.3721 0.8721 0.0000  4 Ge 2.85, 2 Ag 3.11
Ag 0.8721 0.6279 0.0000  4 Ge 2.85, 2 Ag 3.11
Ag 0.6279 0.1279 0.0000  4 Ge 2.85, 2 Ag 3.11
Ag 0.1279 0.3721 0.0000  4 Ge 2.85, 2 Ag 3.11

## Properties
* formation energy from the elements: 245 meV/atom
* space group: P4/mbm (127)

=====

5.
CrHg3Au: relaxed, GGA-PBE.

a = 5.3590 Å, b = 5.3590 Å, c = 5.3590 Å
α = 90.00°, β = 90.00°, γ = 90.00°
Closest atoms and distances in Å follow each position.
Sites, in units of the cell vectors:
Cr 0.5000 0.5000 0.5000  12 Hg 3.79
Au 0.0000 0.0000 0.0000  6 Hg 2.68
Hg 0.0000 0.5000 0.0000  2 Au 2.68
Hg 0.0000 0.0000 0.5000  2 Au 2.68
Hg 0.5000 0.0000 0.0000  2 Au 2.68

## Properties
* formation energy from the elements: 632 meV/atom
* space group: Pm-3m (221)

=====

6.
La4TbNd5: relaxed, GGA-PBE.

a = 6.0543 Å, b = 10.7806 Å, c = 10.7794 Å
α = 90.00°, β = 90.00°, γ = 90.00°
Closest atoms and distances in Å follow each position.
Sites, in units of the cell vectors:
La 0.6287 0.0000 0.7009  1 Nd 3.12, 1 Tb 3.23, 2 La 3.44
La 0.6286 0.7009 0.0000  1 Nd 3.12, 1 Tb 3.23, 2 La 3.44
La 0.6286 0.2991 0.0000  1 Nd 3.12, 1 Tb 3.23, 2 La 3.44
La 0.6287 0.0000 0.2991  1 Nd 3.12, 1 Tb 3.23, 2 La 3.44
La 0.3713 0.5000 0.2009  1 Nd 3.12, 1 Tb 3.23, 2 La 3.44
La 0.3714 0.7991 0.5000  1 Nd 3.12, 1 Tb 3.23, 2 La 3.44
La 0.3714 0.2009 0.5000  1 Nd 3.12, 1 Tb 3.23, 2 La 3.44
La 0.3713 0.5000 0.7991  1 Nd 3.12, 1 Tb 3.23, 2 La 3.44
Tb 0.6620 0.0000 0.0000  4 La 3.23
Tb 0.3380 0.5000 0.5000  4 La 3.23
Nd 0.1527 0.8409 0.8409  3 Nd 3.33-3.43, 2 La 3.68
Nd 0.1527 0.1591 0.8409  3 Nd 3.33-3.43, 2 La 3.68
Nd 0.9999 0.5000 0.0000  4 La 3.12
Nd 0.1527 0.8409 0.1591  3 Nd 3.33-3.43, 2 La 3.68
Nd 0.1527 0.1591 0.1591  3 Nd 3.33-3.43, 2 La 3.68
Nd 0.8473 0.6591 0.3409  3 Nd 3.33-3.43, 2 La 3.68
Nd 0.8473 0.3409 0.3409  3 Nd 3.33-3.43, 2 La 3.68
Nd 0.0001 0.0000 0.5000  4 La 3.12
Nd 0.8473 0.3409 0.6591  3 Nd 3.33-3.43, 2 La 3.68
Nd 0.8473 0.6591 0.6591  3 Nd 3.33-3.43, 2 La 3.68

## Properties
* formation energy from the elements: 148 meV/atom
* space group: P4/nmm (129)